Arrangement i

A relaxed structure of Li2MnP2O8, computed with GGA+U.

Lattice parameters (Å, degrees): 4.659 4.966 7.112 90.06 82.79 63.42
Fractional positions:
Li (0.716, 0.794, 0.848)
Li (0.284, 0.206, 0.152)
Mn (0.500, 0.500, 0.500)
P (0.891, 0.841, 0.289)
P (0.109, 0.159, 0.711)
O (0.760, 0.846, 0.105)
O (0.240, 0.154, 0.895)
O (0.719, 0.737, 0.453)
O (0.281, 0.263, 0.547)
O (0.148, 0.836, 0.656)
O (0.852, 0.164, 0.344)
O (0.265, 0.618, 0.270)
O (0.735, 0.382, 0.730)

Arrangement ii

A relaxed structure of Li2MnP2O8, computed with GGA+U.

Lattice parameters (Å, degrees): 6.185 6.185 9.532 66.28 113.72 98.96
Fractional positions:
Li (0.320, 0.612, 0.485)
Li (0.612, 0.320, 0.015)
Li (0.388, 0.680, 0.985)
Li (0.680, 0.388, 0.515)
Mn (0.904, 0.904, 0.750)
Mn (0.096, 0.096, 0.250)
P (0.021, 0.361, 0.860)
P (0.639, 0.979, 0.360)
P (0.361, 0.021, 0.640)
P (0.979, 0.639, 0.140)
O (0.227, 0.928, 0.761)
O (0.228, 0.935, 0.492)
O (0.072, 0.773, 0.261)
O (0.594, 0.869, 0.752)
O (0.065, 0.772, 0.992)
O (0.283, 0.405, 0.913)
O (0.131, 0.406, 0.252)
O (0.595, 0.717, 0.413)
O (0.405, 0.283, 0.587)
O (0.869, 0.594, 0.748)
O (0.717, 0.595, 0.087)
O (0.935, 0.228, 0.008)
O (0.406, 0.131, 0.248)
O (0.928, 0.227, 0.739)
O (0.772, 0.065, 0.508)
O (0.773, 0.072, 0.239)

Arrangement iii

A relaxed structure of Li2MnP2O8, computed with GGA+U.

Lattice parameters (Å, degrees): 4.817 8.275 8.849 116.52 104.86 89.91
Fractional positions:
Li (0.101, 0.920, 0.684)
Li (0.305, 0.570, 0.395)
Li (0.695, 0.430, 0.605)
Li (0.899, 0.080, 0.316)
Mn (0.269, 0.760, 0.028)
Mn (0.731, 0.240, 0.972)
P (0.135, 0.316, 0.768)
P (0.329, 0.196, 0.198)
P (0.671, 0.804, 0.802)
P (0.865, 0.684, 0.232)
O (0.010, 0.840, 0.873)
O (0.067, 0.516, 0.864)
O (0.006, 0.750, 0.429)
O (0.007, 0.811, 0.175)
O (0.467, 0.306, 0.808)
O (0.547, 0.986, 0.823)
O (0.534, 0.716, 0.892)
O (0.601, 0.672, 0.608)
O (0.399, 0.328, 0.392)
O (0.466, 0.284, 0.108)
O (0.453, 0.014, 0.177)
O (0.533, 0.694, 0.192)
O (0.993, 0.189, 0.825)
O (0.994, 0.250, 0.571)
O (0.933, 0.484, 0.136)
O (0.990, 0.160, 0.127)

Most stable structure: arrangement ii